Entry 1:
The following is a PBE-GGA calculation of an optimized crystal structure of K2ScVOs, from Alexandria.

a b c (Å): 6.0132 4.4771 6.0132
angles (deg): 90.00 90.00 90.00
Each line ends with the local moment (μB).
Positions (direct):
1 K 0.0000 0.0000 0.5000  0.03
2 K 0.5000 0.0000 0.0000  0.03
3 Os 0.0000 0.5000 0.0000  -0.72
4 V 0.0000 0.0000 0.0000  1.62
5 Sc 0.5000 0.5000 0.5000  0.62

Values from the calculation:
SG ... P4/mmm (123)
Total DFT energy (no corrections) ... -21.22 eV/f.u.
Energy of formation ... 1.532 eV/atom
Magnetization ... 2.33 μB/f.u.



Entry 2:
The following is a PBE-GGA calculation of an optimized crystal structure of K2ScZnOs, from Alexandria.

a b c (Å): 5.9896 4.8685 5.9896
angles (deg): 90.00 90.00 90.00
Each line ends with the local moment (μB).
Positions (direct):
1 K 0.0000 0.0000 0.5000  0.00
2 K 0.5000 0.0000 0.0000  0.00
3 Sc 0.5000 0.5000 0.5000  -0.12
4 Os 0.0000 0.0000 0.0000  0.06
5 Zn 0.0000 0.5000 0.0000  0.00

Values from the calculation:
SG ... P4/mmm (123)
Total DFT energy (no corrections) ... -13.59 eV/f.u.
Energy of formation ... 1.487 eV/atom
Magnetization ... 0.13 μB/f.u.



Entry 3:
The following is a PBE-GGA calculation of an optimized crystal structure of K3OsSe, from Alexandria.

a b c (Å): 6.2181 6.2181 6.2181
angles (deg): 90.00 90.00 90.00
Each line ends with the local moment (μB).
Positions (direct):
1 K 0.5000 0.0000 0.0000  0.00
2 K 0.0000 0.5000 0.0000  0.00
3 K 0.0000 0.0000 0.5000  0.00
4 Se 0.0000 0.0000 0.0000  0.01
5 Os 0.5000 0.5000 0.5000  2.58

Values from the calculation:
SG ... Pm-3m (221)
Uncorrected formation energy ... 669 meV/atom
Total DFT energy (no corrections) ... -14.66 eV/f.u.
Offset from the most stable computed form ... 0.000 eV per atom
Magnetization ... 3.00 μB/f.u.



Entry 4:
The following is a PBE-GGA calculation of an optimized crystal structure of KOsSe2, from Alexandria.

a b c (Å): 3.9299 3.9299 7.3236
angles (deg): 74.43 74.43 59.99
Positions (direct):
1 Os 0.2500 0.2500 0.2500
2 Se 0.5275 0.5275 0.4173
3 Se 0.9725 0.9725 0.0827
4 K 0.7500 0.7500 0.7500

Values from the calculation:
SG ... R-3m (166)
Uncorrected formation energy ... -326 meV/atom
Total DFT energy (no corrections) ... -20.60 eV/f.u.
Magnetization ... 0.00 μB/f.u.



Entry 5:
The following is a PBE-GGA calculation of an optimized crystal structure of KOsSe2, from Alexandria.

a b c (Å): 10.0246 10.0246 10.0246
angles (deg): 17.86 17.86 17.86
Positions (direct):
1 K 0.5000 0.5000 0.5000
2 Se 0.9203 0.9203 0.9203
3 Se 0.0797 0.0797 0.0797
4 Os 0.0000 0.0000 0.0000

Values from the calculation:
SG ... R-3m (166)
Uncorrected formation energy ... 421 meV/atom
Total DFT energy (no corrections) ... -17.61 eV/f.u.
Magnetization ... 0.00 μB/f.u.



Entry 6:
The following is a PBE-GGA calculation of an optimized crystal structure of KOs2Se, from Alexandria.

a b c (Å): 7.5921 7.5921 6.0978
angles (deg): 51.50 51.50 90.00
Positions (direct):
1 Os 0.8750 0.9642 0.7500
2 Os 0.0358 0.6250 0.2500
3 Os 0.3750 0.2858 0.7500
4 Os 0.7142 0.1250 0.2500
5 K 0.5000 0.5000 0.0000
6 K 0.2500 0.7500 0.5000
7 Se 0.7500 0.2500 0.5000
8 Se 0.0000 0.0000 0.0000

Values from the calculation:
SG ... I-42d (122)
Uncorrected formation energy ... 1395 meV/atom
Total DFT energy (no corrections) ... -21.46 eV/f.u.
Magnetization ... 0.00 μB/f.u.



Entry 7:
The following is a PBE-GGA calculation of an optimized crystal structure of KOs2Se, from Alexandria.

a b c (Å): 5.5164 2.6770 5.0647
angles (deg): 90.03 90.00 90.00
Positions (direct):
1 K 0.5000 0.7500 0.7500
2 Se 0.5000 0.2500 0.2500
3 Os 0.0000 0.3784 0.4962
4 Os 0.0000 0.1216 0.0038

Values from the calculation:
SG ... P2/m (10)
Uncorrected formation energy ... 1074 meV/atom
Total DFT energy (no corrections) ... -22.74 eV/f.u.
Magnetization ... 0.00 μB/f.u.



Entry 8:
The following is a PBE-GGA calculation of an optimized crystal structure of KOsSe2, from Alexandria.

a b c (Å): 5.9192 5.9192 5.9192
angles (deg): 144.11 113.81 77.65
Positions (direct):
1 Os 0.2500 0.7500 0.5000
2 Se 0.4236 0.4236 0.0000
3 Se 0.0764 0.0764 0.0000
4 K 0.7500 0.2500 0.5000

Values from the calculation:
SG ... Immm (71)
Uncorrected formation energy ... -81 meV/atom
Total DFT energy (no corrections) ... -19.62 eV/f.u.
Magnetization ... 0.00 μB/f.u.



Entry 9:
The following is a PBE-GGA calculation of an optimized crystal structure of KOsSe2, from Alexandria.

a b c (Å): 3.2492 3.2492 7.8326
angles (deg): 90.00 90.00 90.00
Positions (direct):
1 Se 0.0000 0.0000 0.9378
2 Se 0.0000 0.0000 0.5622
3 K 0.5000 0.5000 0.2500
4 Os 0.5000 0.5000 0.7500

Values from the calculation:
SG ... P4/mmm (123)
Uncorrected formation energy ... 161 meV/atom
Total DFT energy (no corrections) ... -18.65 eV/f.u.
Magnetization ... 0.00 μB/f.u.



Entry 10:
The following is a PBE-GGA calculation of an optimized crystal structure of KOsSe2, from Alexandria.

a b c (Å): 4.8940 4.8940 4.8940
angles (deg): 60.00 60.00 60.00
Each line ends with the local moment (μB).
Positions (direct):
1 Se 0.0000 0.0000 0.0000  -0.02
2 Se 0.2500 0.2500 0.2500  -0.06
3 Os 0.7500 0.7500 0.7500  0.92
4 K 0.5000 0.5000 0.5000  0.01

Values from the calculation:
SG ... F-43m (216)
Uncorrected formation energy ... 1200 meV/atom
Total DFT energy (no corrections) ... -14.50 eV/f.u.
Magnetization ... 0.93 μB/f.u.



Entry 11:
The following is a PBE-GGA calculation of an optimized crystal structure of KOs2Se, from Alexandria.

a b c (Å): 4.9197 3.8684 3.8684
angles (deg): 90.00 90.00 90.00
Positions (direct):
1 Os 0.0000 0.5000 0.5000
2 Os 0.0000 0.0000 0.0000
3 K 0.5000 0.0000 0.5000
4 Se 0.5000 0.5000 0.0000

Values from the calculation:
SG ... P4/mmm (123)
Uncorrected formation energy ... 1414 meV/atom
Total DFT energy (no corrections) ... -21.39 eV/f.u.
Magnetization ... 0.00 μB/f.u.



Entry 12:
The following is a PBE-GGA calculation of an optimized crystal structure of KOs2Se, from Alexandria.

a b c (Å): 2.8272 3.4367 8.4402
angles (deg): 90.00 90.00 90.00
Positions (direct):
1 Se 0.0000 0.0000 0.4537
2 Os 0.5000 0.5000 0.2234
3 Os 0.0000 0.0000 0.0744
4 K 0.5000 0.5000 0.7485

Values from the calculation:
SG ... Pmm2 (25)
Uncorrected formation energy ... 531 meV/atom
Total DFT energy (no corrections) ... -24.92 eV/f.u.
Magnetization ... 0.00 μB/f.u.



Entry 13:
The following is a PBE-GGA calculation of an optimized crystal structure of KOs2Se, from Alexandria.

a b c (Å): 4.9602 4.9602 6.7908
angles (deg): 71.35 71.35 35.87
Positions (direct):
1 Os 0.0346 0.0346 0.8252
2 Os 0.7502 0.7502 0.8155
3 Se 0.4511 0.4511 0.5925
4 K 0.2642 0.2642 0.2668

Values from the calculation:
SG ... Cm (8)
Uncorrected formation energy ... 525 meV/atom
Total DFT energy (no corrections) ... -24.94 eV/f.u.
Magnetization ... 0.00 μB/f.u.



Entry 14:
The following is a PBE-GGA calculation of an optimized crystal structure of KOsSe, from Alexandria.

a b c (Å): 3.9094 3.9094 5.9371
angles (deg): 90.00 90.00 120.00
Positions (direct):
1 Os 0.3333 0.6667 0.4458
2 K 0.0000 0.0000 0.9844
3 Se 0.6667 0.3333 0.5699

Values from the calculation:
SG ... P3m1 (156)
Uncorrected formation energy ... 321 meV/atom
Total DFT energy (no corrections) ... -14.85 eV/f.u.
Offset from the most stable computed form ... 0.000 eV per atom
Magnetization ... 0.00 μB/f.u.



Entry 15:
The following is a PBE-GGA calculation of an optimized crystal structure of KOsSe2, from Alexandria.

a b c (Å): 10.9528 10.9528 10.9528
angles (deg): 16.64 16.64 16.64
Each line ends with the local moment (μB).
Positions (direct):
1 K 0.4965 0.4965 0.4965  0.02
2 Se 0.2457 0.2457 0.2457  0.01
3 Se 0.0211 0.0211 0.0211  0.05
4 Os 0.7367 0.7367 0.7367  0.37

Values from the calculation:
SG ... R3m (160)
Uncorrected formation energy ... 421 meV/atom
Total DFT energy (no corrections) ... -17.61 eV/f.u.
Magnetization ... 0.64 μB/f.u.